(1)
## Ta2TcOs (GGA-PBEsol)

Data for Ta2TcOs after structural relaxation.

spin magnetization: 0.000 μB per formula unit
space group: I-4m2 (119)
DFT formation energy: -0.21 eV per formula unit

Cell lengths 3.7807, 3.7807, 5.2031 Å; angles 111.30, 111.30, 90.00 degrees
Closest atoms and distances in Å follow each position.
Fractional coordinates of all 4 atoms:
Ta 0.7500 0.2500 0.5000  4 Os 2.67, 4 Ta 2.92, 4 Tc 2.92
Tc 0.5000 0.5000 0.0000  8 Ta 2.67-2.92, 4 Os 2.92
Ta 0.0000 0.0000 0.0000  4 Tc 2.67, 4 Ta 2.92, 4 Os 2.92
Os 0.2500 0.7500 0.5000  8 Ta 2.67-2.92, 4 Tc 2.92

***

(2)
## ZrNbSi2Ru2 (GGA-PBEsol)

Data for ZrNbSi2Ru2 after structural relaxation.

raw formation energy: -0.8263 eV per atom
spin magnetization: 0.000 μB per formula unit
space group: Pm (6)

Cell lengths 3.7092, 6.5428, 11.1470 Å; angles 90.43, 90.00, 90.00 degrees
Closest atoms and distances in Å follow each position.
Fractional coordinates of all 18 atoms:
Zr 0.5000 0.2106 0.2067  5 Si 2.71-2.76, 6 Ru 2.87-3.00
Si 0.0000 0.5030 0.1621  3 Ru 2.50-2.54, 2 Nb 2.65, 4 Zr 2.71-2.72
Ru 0.0000 0.8763 0.8761  4 Si 2.39-2.51
Nb 0.5000 0.5752 0.9985  5 Si 2.65-2.69, 2 Ru 2.87
Zr 0.5000 0.7129 0.2921  5 Si 2.72-2.75, 6 Ru 2.87-3.02
Si 0.0000 0.0106 0.6681  3 Ru 2.46-2.52, 4 Nb 2.66-2.67, 2 Zr 2.73
Si 0.5000 0.9868 0.9953  6 Ru 2.39-2.49
Nb 0.5000 0.2122 0.7944  5 Si 2.67-2.69, 4 Ru 2.88-2.93
Si 0.5000 0.4891 0.4997  6 Ru 2.41-2.50, 1 Nb 2.66
Nb 0.5000 0.0826 0.5032  5 Si 2.65-2.66, 2 Ru 2.88
Ru 0.0000 0.3801 0.3772  4 Si 2.41-2.54
Si 0.0000 0.4983 0.8348  3 Ru 2.48-2.51, 4 Nb 2.65-2.67, 2 Zr 2.72
Si 0.0000 0.0061 0.3385  3 Ru 2.48-2.55, 2 Nb 2.65, 4 Zr 2.72
Ru 0.0000 0.8780 0.1223  4 Si 2.44-2.55
Ru 0.0000 0.7459 0.5023  4 Si 2.50-2.52, 2 Ru 2.76
Ru 0.0000 0.2414 0.9974  4 Si 2.48-2.50, 2 Ru 2.74-2.76
Ru 0.0000 0.3788 0.6233  4 Si 2.42-2.48
Zr 0.5000 0.7119 0.7081  5 Si 2.72-2.73, 6 Ru 2.84-3.01

***

Number 1: uncorrected energy -12.199 eV/atom. Number 2: uncorrected energy -9.451 eV/atom.